Entry 1:
A geometry-optimized Sc8GeTe4As3 structure. Source: the Alexandria database, functional PBE-GGA.

- ΔE_f (raw): -1.250 eV per atom
- V: 23.15 A^3/atom
- Space group: R-3m, No. 166

a = 7.994 Å, b = 8.129 Å, c = 7.994 Å
α = 119.45°, β = 120.00°, γ = 90.00°
Fractional positions:
Sc1 0.237 0.716 0.978
Sc2 0.237 0.716 0.475
Sc3 0.262 0.285 0.524
Sc4 0.741 0.716 0.978
Sc5 0.259 0.284 0.022
Sc6 0.738 0.715 0.476
Sc7 0.763 0.284 0.525
Sc8 0.763 0.284 0.022
Ge1 0.000 0.500 0.000
Te1 0.500 0.000 0.000
Te2 0.500 0.000 0.500
Te3 0.000 0.000 0.000
Te4 0.000 0.000 0.500
As1 0.500 0.500 0.000
As2 0.500 0.500 0.500
As3 0.000 0.500 0.500

=====

Entry 2:
A geometry-optimized Tm3BiSe2 structure. Source: the Alexandria database, functional PBE-GGA.

- ΔE_f (raw): -1.059 eV per atom
- V: 29.81 A^3/atom
- Space group: Imma, No. 74

a = 9.001 Å, b = 7.936 Å, c = 7.936 Å
α = 55.23°, β = 55.45°, γ = 55.45°
Fractional positions:
Tm1 0.000 0.723 0.277
Tm2 0.000 0.277 0.723
Tm3 0.500 0.777 0.223
Tm4 0.500 0.000 0.500
Tm5 0.500 0.500 0.000
Tm6 0.500 0.223 0.777
Bi1 0.189 0.250 0.250
Bi2 0.811 0.750 0.750
Se1 0.257 0.949 0.949
Se2 0.345 0.449 0.449
Se3 0.655 0.551 0.551
Se4 0.743 0.051 0.051

=====

Entry 3:
A geometry-optimized SmY6Er4 structure. Source: the Alexandria database, functional PBE-GGA.

- V: 32.10 A^3/atom
- Polymorph energy (0 for the lowest one): 0.0 kJ/mol of atoms
- Space group: Cmcm, No. 63

a = 5.661 Å, b = 5.615 Å, c = 25.726 Å
α = 90.00°, β = 90.00°, γ = 120.27°
Fractional positions:
Sm1 0.826 0.651 0.250
Sm2 0.174 0.349 0.750
Y1 0.500 0.000 0.000
Y2 0.500 0.000 0.500
Y3 0.157 0.314 0.319
Y4 0.843 0.686 0.681
Y5 0.843 0.686 0.819
Y6 0.157 0.314 0.181
Y7 0.824 0.648 0.398
Y8 0.176 0.352 0.602
Y9 0.176 0.352 0.898
Y10 0.824 0.648 0.102
Y11 0.492 0.984 0.250
Y12 0.508 0.016 0.750
Er1 0.837 0.674 0.542
Er2 0.488 0.977 0.121
Er3 0.163 0.326 0.458
Er4 0.512 0.023 0.879
Er5 0.837 0.674 0.958
Er6 0.163 0.326 0.042
Er7 0.512 0.023 0.621
Er8 0.488 0.977 0.379